Density functional theory data (PBEsol) for crystalline CaAsOs at its relaxed geometry.

Cell lengths 4.3879, 4.3879, 4.3879 Å; angles 60.00, 60.00, 60.00 degrees
Fractional positions:
Ca 0.5000 0.5000 0.5000
Os 0.7500 0.7500 0.7500
As 0.0000 0.0000 0.0000

Calculated formation energy: 0.308 eV per atom
Uncorrected energy: -18.5 eV per cell
SG: F-43m, No. 216
M_tot: 0.0000 μB/atom